Density functional theory data (PBE) for a relaxed Sm4Dy5Th2 crystal.

Calculated values
Polymorph energy (0 for the lowest one) ... 0.000 eV per atom
Size of the total moment ... 0.00 μB/cell
Energy of formation ... 0.02 eV per atom

a b c (Å): 3.588 9.474 10.726
angles (deg): 93.70 90.01 100.75
Space group P-1 (No. 2)
Symmetry-distinct sites (fractional):
Sm: 0.089 0.178 0.455 [2 per cell]
Sm: 0.361 0.722 0.824 [2 per cell]
Dy: 0.000 0.000 0.000 [1 per cell]
Dy: 0.273 0.548 0.362 [2 per cell]
Dy: 0.452 0.906 0.270 [2 per cell]
Th: 0.184 0.366 0.907 [2 per cell]


Density functional theory data (PBE) for a relaxed Ag2PbWI crystal.

Calculated values
Formation energy without anion corrections ... 1391.6 meV/atom
Size of the total moment ... 3.09 μB/cell

a b c (Å): 5.373 5.373 5.445
angles (deg): 90.00 90.00 90.00
Space group P4/mmm (No. 123)
Symmetry-distinct sites (fractional):
Ag: 0.000 0.500 0.000 [2 per cell]
Pb: 0.000 0.000 0.000 [1 per cell]
W: 0.000 0.000 0.500 [1 per cell]
I: 0.500 0.500 0.500 [1 per cell]